1.
The following is a DFT calculation (GGA-PBE) of a relaxed CdPtPbO6 crystal.

Properties
raw formation energy: -0.581 eV per atom
crystal system: trigonal
uncorrected energy: -5.07 eV per atom

The structure in CIF format:
```
data_CdPtPbO6
_chemical_formula_sum 'Cd2 Pt2 Pb2 O12'
_symmetry_space_group_name_H-M 'P -3 1 c'
_symmetry_Int_Tables_number 163
_symmetry_space_group_name_Hall '-P 3 2c'
_cell_length_a 5.5737
_cell_length_b 5.5737
_cell_length_c 9.1320
_cell_angle_alpha 90.00
_cell_angle_beta 90.00
_cell_angle_gamma 120.00
loop_
_atom_site_label
_atom_site_fract_x
_atom_site_fract_y
_atom_site_fract_z
Cd1 0.0000 0.0000 0.0000
Pt1 0.3333 0.6667 0.2500
Pb1 0.3333 0.6667 0.7500
O1 0.0331 0.3778 0.1296
```


2.
The following is a DFT calculation (GGA-PBE) of a relaxed Pu2CdPbO8 crystal.

Properties
raw formation energy: -1.908 eV per atom
crystal system: tetragonal
uncorrected energy: -7.99 eV per atom

The structure in CIF format:
```
data_Pu2CdPbO8
_chemical_formula_sum 'Pu4 Cd2 Pb2 O16'
_symmetry_space_group_name_H-M 'I -4 m 2'
_symmetry_Int_Tables_number 119
_symmetry_space_group_name_Hall 'I -4 -2'
_cell_length_a 5.3935
_cell_length_b 5.3935
_cell_length_c 10.6688
_cell_angle_alpha 90.00
_cell_angle_beta 90.00
_cell_angle_gamma 90.00
loop_
_atom_site_label
_atom_site_fract_x
_atom_site_fract_y
_atom_site_fract_z
Pu1 0.0000 0.0000 0.0000
Pu2 0.0000 0.5000 0.2500
Cd1 0.0000 0.0000 0.5000
Pb1 0.0000 0.5000 0.7500
O1 0.2297 0.2480 0.1257
```